1.
DFT (GGA-PBE) results for LiCdTcF2 after structural relaxation.

a = 4.087 Å, b = 4.087 Å, c = 5.584 Å
α = 90.00°, β = 90.00°, γ = 90.00°
Positions (direct):
Li: 0.000 0.000 0.000
Cd: 0.500 0.500 0.000
Tc: 0.000 0.000 0.500
F: 0.000 0.500 0.500
F: 0.500 0.000 0.500

Properties
Spin magnetization ... 2.06 μB per formula unit
Space-group type ... P4/mmm, No. 123
Energy relative to the elements, uncorrected ... -0.6427 eV per atom

---

2.
DFT (GGA-PBE) results for Li2CdTeF after structural relaxation.

a = 5.259 Å, b = 5.259 Å, c = 4.799 Å
α = 90.00°, β = 90.00°, γ = 90.00°
Positions (direct):
Li: 0.000 0.500 0.000
Li: 0.500 0.000 0.000
Cd: 0.000 0.000 0.500
Te: 0.500 0.500 0.000
F: 0.500 0.500 0.500

Properties
Spin magnetization ... 0.00 μB per formula unit
Space-group type ... P4/mmm, No. 123
Energy relative to the elements, uncorrected ... -0.6877 eV per atom